1.
# Ba2Al4GaAg3 PBE relaxed
# - Crystal system: tetragonal
# - E_form: -0.238 eV per atom
data_Ba2Al4GaAg3
_symmetry_space_group_name_H-M 'P -4 m 2'
_symmetry_Int_Tables_number 115
_cell_length_a 4.639
_cell_length_b 4.639
_cell_length_c 11.079
_cell_angle_alpha 90.00
_cell_angle_beta 90.00
_cell_angle_gamma 90.00
loop_
_symmetry_equiv_pos_as_xyz
'x,y,z'
'y,-x,-z'
'-x,-y,z'
'-y,x,-z'
'-x,y,z'
'-y,-x,-z'
'x,-y,z'
'y,x,-z'
loop_
_atom_site_label
_atom_site_type_symbol
_atom_site_fract_x
_atom_site_fract_y
_atom_site_fract_z
_atom_site_occupancy
Ba1 Ba 0.000 0.500 0.248 1
Al1 Al 0.000 0.000 0.500 1
Al2 Al 0.000 0.500 0.872 1
Al3 Al 0.500 0.500 0.500 1
Ga1 Ga 0.500 0.500 0.000 1
Ag1 Ag 0.000 0.000 0.000 1
Ag2 Ag 0.000 0.500 0.626 1


2.
# Th2Ga4IrPd3 PBE relaxed
# - Crystal system: tetragonal
# - E_form: -0.768 eV per atom
data_Th2Ga4IrPd3
_symmetry_space_group_name_H-M 'P -4 m 2'
_symmetry_Int_Tables_number 115
_cell_length_a 4.289
_cell_length_b 4.289
_cell_length_c 10.415
_cell_angle_alpha 90.00
_cell_angle_beta 90.00
_cell_angle_gamma 90.00
loop_
_symmetry_equiv_pos_as_xyz
'x,y,z'
'y,-x,-z'
'-x,-y,z'
'-y,x,-z'
'-x,y,z'
'-y,-x,-z'
'x,-y,z'
'y,x,-z'
loop_
_atom_site_label
_atom_site_type_symbol
_atom_site_fract_x
_atom_site_fract_y
_atom_site_fract_z
_atom_site_occupancy
Th1 Th 0.000 0.500 0.246 1
Ga1 Ga 0.000 0.000 0.500 1
Ga2 Ga 0.000 0.500 0.870 1
Ga3 Ga 0.500 0.500 0.500 1
Ir1 Ir 0.500 0.500 0.000 1
Pd1 Pd 0.000 0.000 0.000 1
Pd2 Pd 0.000 0.500 0.633 1


3.
# Tb5SmTe6 PBE relaxed
# - Crystal system: monoclinic
# - Energy relative to the elements, uncorrected: -1324 meV per atom
data_Tb5SmTe6
_symmetry_space_group_name_H-M 'C 1 2/m 1'
_symmetry_Int_Tables_number 12
_cell_length_a 7.589
_cell_length_b 13.186
_cell_length_c 7.579
_cell_angle_alpha 90.00
_cell_angle_beta 109.56
_cell_angle_gamma 90.00
loop_
_symmetry_equiv_pos_as_xyz
'x,y,z'
'-x,-y,-z'
'-x,y,-z'
'x,-y,z'
'x+1/2,y+1/2,z'
'-x+1/2,-y+1/2,-z'
'-x+1/2,y+1/2,-z'
'x+1/2,-y+1/2,z'
loop_
_atom_site_label
_atom_site_type_symbol
_atom_site_fract_x
_atom_site_fract_y
_atom_site_fract_z
_atom_site_occupancy
Tb1 Tb 0.000 0.000 0.000 1
Tb2 Tb 0.000 0.166 0.500 1
Tb3 Tb 0.000 0.339 0.000 1
Sm1 Sm 0.000 0.500 0.500 1
Te1 Te 0.245 0.000 0.749 1
Te2 Te 0.246 0.169 0.246 1


no.,DFT total energy (eV/atom)
1,-3.2781
2,-5.9066
3,-5.2172